## MnSiO3 (GGA+U)

Data for a relaxed structure of MnSiO3.

Calculated values
* ρ: 3.4 g/cm3
* total energy: -386.437 eV per cell
* size of the total moment: 4.2 μB/f.u.

Cell lengths 5.9226, 8.8934, 12.6448 Å; angles 72.77, 88.25, 89.26 degrees
Space group P-1 (No. 2)
Inequivalent atoms, fractional coordinates:
Mn1 0.0000 0.0000 0.0000
Mn2 0.1566 0.1169 0.6827
Mn3 0.1677 0.2223 0.1410
Mn4 0.1953 0.1379 0.4234
Mn5 0.3298 0.4814 0.2590
Mn6 0.5000 0.0000 0.0000
Si1 0.1537 0.5327 0.6386
Si2 0.2115 0.6467 0.0323
Si3 0.3356 0.7404 0.7793
Si4 0.3438 0.7850 0.4349
Si5 0.4155 0.8379 0.1826
O1 0.0038 0.7717 0.0048
O2 0.0872 0.3734 0.3688
O3 0.1224 0.8600 0.7446
O4 0.1227 0.9007 0.4329
O5 0.1313 0.3470 0.6735
O6 0.1625 0.4692 0.1083
O7 0.2433 0.9832 0.1162
O8 0.3047 0.6119 0.5239
O9 0.3121 0.5812 0.7346
O10 0.3389 0.0778 0.8528
O11 0.3564 0.7472 0.3111
O12 0.3587 0.6681 0.9159
O13 0.3894 0.7017 0.1179
O14 0.4095 0.1981 0.2666
O15 0.4152 0.1366 0.5537